# CsMg2ZnPt

A geometry-optimized CsMg2ZnPt structure (PBE-GGA, Alexandria).

Cell: 5.2446 5.2446 5.1123 Å, 90.00 90.00 90.00°
With the nearest neighbours (Å) after each atom.
Fractional positions:
Cs  0.5000  0.5000  0.5000  8 Mg 3.66, 4 Zn 3.71
Zn  0.0000  0.0000  0.5000  2 Pt 2.56
Mg  0.0000  0.5000  0.0000  2 Pt 2.62
Mg  0.5000  0.0000  0.0000  2 Pt 2.62
Pt  0.0000  0.0000  0.0000  2 Zn 2.56, 4 Mg 2.62

Calculated values
E_form: -260 meV per atom
E_tot: -12.66 eV for the cell shown
SG: P4/mmm (123)

---

# CsPuMgS3

A geometry-optimized CsPuMgS3 structure (PBE-GGA, Alexandria).

Cell: 4.1894 9.3495 10.1275 Å, 109.62 90.00 90.00°
With the nearest neighbours (Å) after each atom.
Fractional positions:
Cs  0.7500  0.7868  0.7665  7 S 3.58-3.87
Cs  0.2500  0.2132  0.2335  7 S 3.58-3.87
Pu  0.2500  0.6672  0.1382  6 S 2.71-3.03
Pu  0.7500  0.3328  0.8618  6 S 2.71-3.03
Mg  0.2500  0.0864  0.6106  4 S 2.41-2.50
Mg  0.7500  0.9136  0.3894  4 S 2.41-2.50
S  0.2500  0.8144  0.4543  3 Mg 2.47-2.50
S  0.7500  0.8690  0.1411  1 Mg 2.41
S  0.7500  0.4770  0.1433  3 Pu 2.71-2.76
S  0.7500  0.1856  0.5457  3 Mg 2.47-2.50
S  0.2500  0.5230  0.8567  3 Pu 2.71-2.76
S  0.2500  0.1310  0.8589  1 Mg 2.41

Calculated values
ΔE_f (raw): -8.92 eV per formula unit
E_tot: -76.17 eV for the cell shown
SG: P2_1/m (11)

---

# CsPuMgSe3

A geometry-optimized CsPuMgSe3 structure (PBE-GGA, Alexandria).

Cell: 4.3536 9.6719 10.5118 Å, 110.02 90.00 90.00°
With the nearest neighbours (Å) after each atom.
Fractional positions:
Cs  0.2500  0.2159  0.2375  7 Se 3.69-3.96
Cs  0.7500  0.7841  0.7625  7 Se 3.69-3.96
Pu  0.2500  0.6697  0.1378  6 Se 2.86-3.14
Pu  0.7500  0.3303  0.8622  6 Se 2.86-3.14
Mg  0.2500  0.0869  0.6110  4 Se 2.54-2.65
Mg  0.7500  0.9131  0.3890  4 Se 2.54-2.65
Se  0.7500  0.8752  0.1377  1 Mg 2.54
Se  0.2500  0.1248  0.8623  1 Mg 2.54
Se  0.2500  0.8057  0.4556  3 Mg 2.61-2.65
Se  0.7500  0.1943  0.5444  3 Mg 2.61-2.65
Se  0.7500  0.4770  0.1493  3 Pu 2.86-2.89
Se  0.2500  0.5230  0.8507  3 Pu 2.86-2.89

Calculated values
ΔE_f (raw): -8.25 eV per formula unit
E_tot: -70.96 eV for the cell shown
SG: P2_1/m (11)

---

# Cs3Pu2MgSe6

A geometry-optimized Cs3Pu2MgSe6 structure (PBE-GGA, Alexandria).

Cell: 7.3838 7.3838 8.6699 Å, 98.14 98.14 120.00°
With the nearest neighbours (Å) after each atom.
Fractional positions:
Cs  0.1648  0.8352  0.5000  6 Se 3.60-3.64
Cs  0.8352  0.1648  0.5000  6 Se 3.60-3.64
Cs  0.5000  0.5000  0.5000  6 Se 3.61-3.63
Pu  0.3332  0.6668  0.0000  6 Se 2.89
Pu  0.6668  0.3332  0.0000  6 Se 2.89
Mg  0.0000  0.0000  0.0000  6 Se 2.87-2.88
Se  0.9396  0.6077  0.8187  1 Mg 2.88, 2 Pu 2.89
Se  0.7286  0.7286  0.1803  1 Mg 2.87, 2 Pu 2.89
Se  0.0604  0.3923  0.1813  1 Mg 2.88, 2 Pu 2.89
Se  0.6077  0.9396  0.8187  1 Mg 2.88, 2 Pu 2.89
Se  0.2714  0.2714  0.8197  1 Mg 2.87, 2 Pu 2.89
Se  0.3923  0.0604  0.1813  1 Mg 2.88, 2 Pu 2.89

Calculated values
ΔE_f (raw): -15.81 eV per formula unit
E_tot: -69.53 eV for the cell shown
SG: C2/m (12)

---

# CsPu2MgTe4

A geometry-optimized CsPu2MgTe4 structure (PBE-GGA, Alexandria).

Cell: 4.6043 8.3267 16.0507 Å, 90.00 90.00 106.05°
With the nearest neighbours (Å) after each atom.
Fractional positions:
Cs  0.1145  0.2291  0.7500  6 Te 3.71-3.86
Cs  0.8855  0.7709  0.2500  6 Te 3.71-3.86
Pu  0.3713  0.7426  0.5546  6 Te 3.15-3.29
Pu  0.6287  0.2574  0.0546  6 Te 3.15-3.29
Pu  0.6287  0.2574  0.4454  6 Te 3.15-3.29
Pu  0.3713  0.7426  0.9454  6 Te 3.15-3.29
Mg  0.8358  0.6717  0.7500  4 Te 2.76-2.77
Mg  0.1642  0.3283  0.2500  4 Te 2.76-2.77
Te  0.2572  0.5143  0.1054  1 Mg 2.76
Te  0.7428  0.4857  0.6054  1 Mg 2.76
Te  0.7428  0.4857  0.8946  1 Mg 2.76
Te  0.2572  0.5143  0.3946  1 Mg 2.76
Te  0.0000  0.0000  0.5000  4 Pu 3.21
Te  0.0000  0.0000  0.0000  4 Pu 3.21
Te  0.4324  0.8648  0.7500  2 Mg 2.77
Te  0.5676  0.1352  0.2500  2 Mg 2.77

Calculated values
ΔE_f (raw): -8.19 eV per formula unit
E_tot: -103.74 eV for the cell shown
SG: Cmcm (63)

---

# CsRbMg14

A geometry-optimized CsRbMg14 structure (PBE-GGA, Alexandria).

Cell: 6.9624 6.9624 10.8724 Å, 90.00 90.00 120.00°
With the nearest neighbours (Å) after each atom.
Fractional positions:
Cs  0.0000  0.0000  0.5000  12 Mg 3.48-3.52
Rb  0.0000  0.0000  0.0000  12 Mg 3.48-3.49
Mg  0.0075  0.5038  0.0000  10 Mg 3.29-3.56, 2 Rb 3.48
Mg  0.0100  0.5050  0.5000  10 Mg 3.32-3.59, 2 Cs 3.48
Mg  0.4962  0.9925  0.0000  10 Mg 3.29-3.56, 2 Rb 3.48
Mg  0.4950  0.9900  0.5000  10 Mg 3.32-3.59, 2 Cs 3.48
Mg  0.4962  0.5038  0.0000  10 Mg 3.29-3.56, 2 Rb 3.48
Mg  0.4950  0.5050  0.5000  10 Mg 3.32-3.59, 2 Cs 3.48
Mg  0.1838  0.8162  0.2480  8 Mg 3.12-3.49, 1 Rb 3.49
Mg  0.1838  0.8162  0.7520  8 Mg 3.12-3.49, 1 Rb 3.49
Mg  0.1838  0.3677  0.2480  8 Mg 3.12-3.49, 1 Rb 3.49
Mg  0.1838  0.3677  0.7520  8 Mg 3.12-3.49, 1 Rb 3.49
Mg  0.6323  0.8162  0.2480  8 Mg 3.12-3.49, 1 Rb 3.49
Mg  0.6323  0.8162  0.7520  8 Mg 3.12-3.49, 1 Rb 3.49
Mg  0.6667  0.3333  0.2505  12 Mg 3.41-3.49
Mg  0.6667  0.3333  0.7495  12 Mg 3.41-3.49

Calculated values
Offset from the most stable computed form: 0.049 eV/atom
E_form: 255 meV per atom
E_tot: -20.06 eV for the cell shown
SG: P-6m2 (187)

---

# CsRb2Mg2

A geometry-optimized CsRb2Mg2 structure (PBE-GGA, Alexandria).

Cell: 10.4346 10.4346 5.6051 Å, 90.00 90.00 90.00°
With the nearest neighbours (Å) after each atom.
Fractional positions:
Cs  0.0000  0.0000  0.0000  4 Mg 4.26
Cs  0.5000  0.5000  0.0000  4 Mg 4.26
Mg  0.3943  0.8943  0.0000  1 Mg 3.12
Mg  0.8943  0.6057  0.0000  1 Mg 3.12
Mg  0.6057  0.1057  0.0000  1 Mg 3.12
Mg  0.1057  0.3943  0.0000  1 Mg 3.12
Rb  0.1707  0.6707  0.5000  6 Mg 4.08-4.33
Rb  0.6707  0.8293  0.5000  6 Mg 4.08-4.33
Rb  0.8293  0.3293  0.5000  6 Mg 4.08-4.33
Rb  0.3293  0.1707  0.5000  6 Mg 4.08-4.33

Calculated values
Offset from the most stable computed form: 0.000 eV/atom
E_form: 213 meV per atom
E_tot: -9.83 eV for the cell shown
SG: P4/mbm (127)

---

# CsRbMg6

A geometry-optimized CsRbMg6 structure (PBE-GGA, Alexandria).

Cell: 8.9519 8.9519 4.8559 Å, 90.00 90.00 119.20°
With the nearest neighbours (Å) after each atom.
Fractional positions:
Cs  0.4146  0.5854  0.0000  12 Mg 4.11-4.58
Rb  0.0857  0.9143  0.5000  12 Mg 4.10-4.58
Mg  0.6327  0.0129  0.5000  6 Mg 3.06-3.21
Mg  0.9871  0.3673  0.5000  6 Mg 3.06-3.21
Mg  0.6297  0.3703  0.5000  6 Mg 3.07-3.21
Mg  0.8693  0.4913  0.0000  6 Mg 3.06-3.27
Mg  0.5087  0.1307  0.0000  6 Mg 3.06-3.27
Mg  0.8721  0.1279  0.0000  6 Mg 3.07-3.27

Calculated values
Offset from the most stable computed form: 0.037 eV/atom
E_form: 251 meV per atom
E_tot: -9.38 eV for the cell shown
SG: Amm2 (38)

---

# CsRbMg6

A geometry-optimized CsRbMg6 structure (PBE-GGA, Alexandria).

Cell: 11.5545 11.5545 5.1100 Å, 90.00 90.00 149.43°
With the nearest neighbours (Å) after each atom.
Fractional positions:
Cs  0.2442  0.7558  0.5000  4 Mg 3.91-4.13
Rb  0.8895  0.1105  0.5000  4 Mg 3.76
Mg  0.8195  0.6745  0.5000  8 Mg 3.01-3.20
Mg  0.3255  0.1805  0.5000  8 Mg 3.01-3.20
Mg  0.7339  0.7511  0.0000  5 Mg 2.95-3.14
Mg  0.2489  0.2661  0.0000  5 Mg 2.95-3.14
Mg  0.6269  0.3731  0.0000  8 Mg 3.06-3.36
Mg  0.1117  0.8883  0.0000  8 Mg 3.06-3.11

Calculated values
Offset from the most stable computed form: 0.000 eV/atom
E_form: 214 meV per atom
E_tot: -9.68 eV for the cell shown
SG: Amm2 (38)

---

# Cs4Rb2Mg

A geometry-optimized Cs4Rb2Mg structure (PBE-GGA, Alexandria).

Cell: 7.7265 7.7265 13.4316 Å, 106.72 106.72 90.00°
With the nearest neighbours (Å) after each atom.
Fractional positions:
Cs  0.8307  0.8307  0.6614  1 Mg 4.15
Cs  0.1693  0.1693  0.3386  1 Mg 4.15
Cs  0.0000  0.5000  0.0000  2 Mg 3.86
Cs  0.5000  0.0000  0.0000  2 Mg 3.86
Mg  0.0000  0.0000  0.0000  6 Cs 3.86-4.15
Rb  0.6324  0.6324  0.2648  5 Cs 4.87-5.05
Rb  0.3676  0.3676  0.7352  5 Cs 4.87-5.05

Calculated values
E_form: 144 meV per atom
E_tot: -5.94 eV for the cell shown
SG: I4/mmm (139)

---

# CsRb2Mg2

A geometry-optimized CsRb2Mg2 structure (PBE-GGA, Alexandria).

Cell: 11.6661 11.6661 4.3166 Å, 90.00 90.00 90.00°
With the nearest neighbours (Å) after each atom.
Fractional positions:
Cs  0.0000  0.0000  0.0000  2 Cs 4.32, 4 Rb 4.57
Cs  0.5000  0.5000  0.0000  2 Cs 4.32, 4 Rb 4.57
Mg  0.1644  0.6644  0.5000  6 Rb 4.01-4.08, 2 Mg 4.32
Mg  0.6644  0.8356  0.5000  6 Rb 4.01-4.08, 2 Mg 4.32
Mg  0.8356  0.3356  0.5000  6 Rb 4.01-4.08, 2 Mg 4.32
Mg  0.3356  0.1644  0.5000  6 Rb 4.01-4.08, 2 Mg 4.32
Rb  0.3695  0.8695  0.0000  6 Mg 4.01-4.08, 3 Rb 4.31-4.32
Rb  0.8695  0.6305  0.0000  6 Mg 4.01-4.08, 3 Rb 4.31-4.32
Rb  0.6305  0.1305  0.0000  6 Mg 4.01-4.08, 3 Rb 4.31-4.32
Rb  0.1305  0.3695  0.0000  6 Mg 4.01-4.08, 3 Rb 4.31-4.32

Calculated values
Offset from the most stable computed form: 0.056 eV/atom
E_form: 269 meV per atom
E_tot: -9.27 eV for the cell shown
SG: P4/mbm (127)

---

# Cs3RbMg

A geometry-optimized Cs3RbMg structure (PBE-GGA, Alexandria).

Cell: 7.8981 7.8981 7.8981 Å, 90.00 90.00 90.00°
With the nearest neighbours (Å) after each atom.
Fractional positions:
Cs  0.0000  0.5000  0.0000  2 Mg 3.95
Cs  0.0000  0.0000  0.5000  2 Mg 3.95
Cs  0.5000  0.0000  0.0000  2 Mg 3.95
Mg  0.0000  0.0000  0.0000  6 Cs 3.95
Rb  0.5000  0.5000  0.5000  12 Cs 5.58

Calculated values
Offset from the most stable computed form: 0.000 eV/atom
E_form: 181 meV per atom
E_tot: -4.22 eV for the cell shown
SG: Pm-3m (221)

---

no.,DOS(E_F) (states/eV/atom)
1,0.272
2,1.534
3,1.817
4,1.765
5,3.856
6,0.490
7,1.241
8,0.794
9,0.636
10,1.017
11,1.461
12,1.420